[1]
! Rb2Na4I3Br2 (PBE-GGA, optimized geometry); values from VASP
&SYSTEM
  ibrav = 0, nat = 11, ntyp = 4
/
ATOMIC_SPECIES
Rb 85.47 Rb.upf
Na 22.99 Na.upf
I 126.90 I.upf
Br 79.90 Br.upf
ATOMIC_POSITIONS angstrom
Rb 0.000 0.000 5.936
Rb 0.000 0.000 25.552
Na 2.767 0.000 2.213
Na 2.767 0.000 13.531
Na 0.000 2.767 2.213
Na 0.000 2.767 13.531
I 0.000 0.000 11.449
I 0.000 0.000 15.744
I 0.000 0.000 20.040
Br 0.000 0.000 2.365
Br 0.000 0.000 29.123
CELL_PARAMETERS angstrom
-2.767 2.767 15.744
2.767 -2.767 15.744
2.767 2.767 -15.744
! Size of the total moment   0.0 μB per formula unit
! Space-group type   I4/mmm
! D(E_F)   2.25 states/eV per cell
! Formation energy without anion corrections   -1.214 eV/atom

***

[2]
! Tb5Dy4Pu (PBE-GGA, optimized geometry); values from VASP
&SYSTEM
  ibrav = 0, nat = 10, ntyp = 3
/
ATOMIC_SPECIES
Tb 158.93 Tb.upf
Dy 162.50 Dy.upf
Pu 244.00 Pu.upf
ATOMIC_POSITIONS angstrom
Tb 0.000 0.000 0.000
Tb 3.429 3.429 0.000
Tb 1.997 -1.997 2.721
Tb -1.997 1.997 2.721
Tb 1.997 1.997 2.721
Dy 3.542 0.000 0.000
Dy 7.309 0.000 0.000
Dy 0.000 3.542 0.000
Dy 0.000 7.309 0.000
Pu 0.000 0.000 2.721
CELL_PARAMETERS angstrom
-5.426 5.426 2.721
5.426 -5.426 2.721
5.426 5.426 -2.721
! Size of the total moment   6.0 μB per formula unit
! Space-group type   I4/mmm
! D(E_F)   12.43 states/eV per cell
! Formation enthalpy at 0 K   253 meV per atom

***

[3]
! SmSc2Ga6 (PBE-GGA, optimized geometry); values from VASP
&SYSTEM
  ibrav = 0, nat = 9, ntyp = 3
/
ATOMIC_SPECIES
Sm 150.36 Sm.upf
Sc 44.96 Sc.upf
Ga 69.72 Ga.upf
ATOMIC_POSITIONS angstrom
Sm 0.000 0.000 0.000
Sc 0.000 4.393 0.000
Sc 3.804 2.196 0.000
Ga -1.285 2.226 1.714
Ga -2.519 4.363 1.714
Ga 2.570 0.000 1.714
Ga 1.285 2.226 1.714
Ga 5.038 0.000 1.714
Ga 2.519 4.363 1.714
CELL_PARAMETERS angstrom
7.608 0.000 0.000
-3.804 6.589 0.000
0.000 0.000 3.428
! Size of the total moment   0.0 μB per formula unit
! Space-group type   P6/mmm
! D(E_F)   4.67 states/eV per cell
! Formation enthalpy at 0 K   -550 meV per atom

***

[4]
! LaScZn (PBE-GGA, optimized geometry); values from VASP
&SYSTEM
  ibrav = 0, nat = 6, ntyp = 3
/
ATOMIC_SPECIES
La 138.91 La.upf
Sc 44.96 Sc.upf
Zn 65.41 Zn.upf
ATOMIC_POSITIONS angstrom
La 0.000 0.000 0.000
La 0.000 2.871 1.587
Sc 0.000 0.000 3.559
Sc 2.486 1.435 5.007
Zn 0.000 2.871 5.027
Zn 2.486 1.435 2.219
CELL_PARAMETERS angstrom
4.972 0.000 0.000
-2.486 4.306 0.000
0.000 0.000 6.969
! Size of the total moment   0.0 μB per formula unit
! Space-group type   P3m1
! D(E_F)   5.59 states/eV per cell
! Formation enthalpy at 0 K   -144 meV per atom

***

[5]
! CeAsH (PBE-GGA, optimized geometry); values from VASP
&SYSTEM
  ibrav = 0, nat = 6, ntyp = 3
/
ATOMIC_SPECIES
Ce 140.12 Ce.upf
As 74.92 As.upf
H 1.01 H.upf
ATOMIC_POSITIONS angstrom
Ce 1.368 0.000 1.345
Ce 5.245 0.000 3.900
As 4.315 0.000 0.940
As 2.297 0.000 4.304
H -0.199 0.000 2.958
H 6.812 0.000 2.286
CELL_PARAMETERS angstrom
5.235 -2.063 0.000
5.235 2.063 0.000
-3.857 0.000 5.244
! Uncorrected energy   -5.44 eV/atom
! Size of the total moment   0.6 μB per formula unit
! Space-group type   C2/m
! D(E_F)   10.52 states/eV per cell

***

[6]
! PaGa2PO8 (PBE-GGA, optimized geometry); values from VASP
&SYSTEM
  ibrav = 0, nat = 12, ntyp = 4
/
ATOMIC_SPECIES
Pa 231.04 Pa.upf
Ga 69.72 Ga.upf
P 30.97 P.upf
O 16.00 O.upf
ATOMIC_POSITIONS angstrom
Pa 0.000 0.000 0.000
Ga 1.422 0.000 3.137
Ga 7.726 0.000 2.103
P 4.574 0.000 2.620
O 3.888 1.263 1.563
O 1.509 0.000 1.282
O 5.260 1.263 3.678
O 3.222 0.000 3.647
O 5.926 0.000 1.594
O 3.888 -1.263 1.563
O 7.639 0.000 3.958
O 5.260 -1.263 3.678
CELL_PARAMETERS angstrom
5.096 -2.594 0.000
5.096 2.594 0.000
-1.044 0.000 5.241
! Size of the total moment   0.0 μB per formula unit
! Space-group type   C2/m
! D(E_F)   0.00 states/eV per cell
! Formation energy without anion corrections   -2.116 eV/atom

***

[7]
! La2Nd6Dy3Ho (PBE-GGA, optimized geometry); values from VASP
&SYSTEM
  ibrav = 0, nat = 12, ntyp = 4
/
ATOMIC_SPECIES
La 138.91 La.upf
Nd 144.24 Nd.upf
Dy 162.50 Dy.upf
Ho 164.93 Ho.upf
ATOMIC_POSITIONS angstrom
La 3.162 3.651 0.000
La 3.162 -3.651 0.000
Nd -0.001 1.817 8.852
Nd 1.061 0.000 3.021
Nd -0.001 -1.817 8.852
Nd 4.210 1.817 3.018
Nd 3.147 0.000 8.848
Nd 4.210 -1.817 3.018
Dy -1.058 0.000 5.935
Dy 2.104 1.822 5.935
Dy 2.104 -1.822 5.935
Ho 3.162 0.000 0.000
CELL_PARAMETERS angstrom
3.162 -5.478 0.000
3.162 5.478 0.000
-2.115 0.000 11.870
! Size of the total moment   0.0 μB per formula unit
! Space-group type   C2/m
! D(E_F)   17.36 states/eV per cell
! Formation enthalpy at 0 K   18 meV per atom

***

[8]
! Pr2SmEr3Tm6 (PBE-GGA, optimized geometry); values from VASP
&SYSTEM
  ibrav = 0, nat = 12, ntyp = 4
/
ATOMIC_SPECIES
Pr 140.91 Pr.upf
Sm 150.36 Sm.upf
Er 167.26 Er.upf
Tm 168.93 Tm.upf
ATOMIC_POSITIONS angstrom
Pr 3.074 3.545 0.000
Pr 3.074 -3.545 0.000
Sm 3.074 0.000 0.000
Er -1.022 0.000 5.752
Er 2.051 1.771 5.752
Er 2.051 -1.771 5.752
Tm -0.002 1.771 8.576
Tm 1.034 0.000 2.929
Tm -0.002 -1.771 8.576
Tm 4.104 1.771 2.928
Tm 3.068 0.000 8.576
Tm 4.104 -1.771 2.928
CELL_PARAMETERS angstrom
3.074 -5.318 0.000
3.074 5.318 0.000
-2.045 0.000 11.505
! Size of the total moment   0.0 μB per formula unit
! Space-group type   C2/m
! D(E_F)   16.40 states/eV per cell
! Formation enthalpy at 0 K   26 meV per atom

***

[9]
! Nd4MgCu2 (PBE-GGA, optimized geometry); values from VASP
&SYSTEM
  ibrav = 0, nat = 7, ntyp = 3
/
ATOMIC_SPECIES
Nd 144.24 Nd.upf
Mg 24.30 Mg.upf
Cu 63.55 Cu.upf
ATOMIC_POSITIONS angstrom
Nd 0.000 0.000 3.050
Nd 0.000 0.000 7.419
Nd 0.000 0.000 18.246
Nd 0.000 0.000 22.615
Mg 0.000 0.000 12.832
Cu 0.000 0.000 10.306
Cu 0.000 0.000 15.359
CELL_PARAMETERS angstrom
2.584 1.492 8.555
-2.584 1.492 8.555
0.000 -2.984 8.555
! Size of the total moment   0.0 μB per formula unit
! Space-group type   R-3m
! D(E_F)   7.94 states/eV per cell
! Formation enthalpy at 0 K   57 meV per atom